[1]
An optimized crystal structure of LiZnGaSn, computed with PBE.

```
LiZnGaSn
1.0
4.766 0.000 0.000
2.383 4.127 0.000
2.383 1.376 3.891
Zn Sn Ga Li
1 1 1 1
Direct
0.500 0.500 0.500
0.250 0.250 0.250
0.750 0.750 0.750
0.000 0.000 0.000
```

Results
Theoretical density: 5.66 g/cm3
E_tot: -2.65 eV/atom
DOS at the Fermi energy: 1.6 states/eV/f.u.

[2]
An optimized crystal structure of Sr2LiGa2, computed with PBE.

```
Sr2LiGa2
1.0
-4.532 -1.207 -6.972
2.916 -7.863 -0.534
-3.314 -1.392 2.395
Sr Ga Li
4 4 2
Direct
0.178 0.678 0.500
0.678 0.822 0.500
0.822 0.322 0.500
0.322 0.178 0.500
0.385 0.885 0.000
0.885 0.615 0.000
0.615 0.115 0.000
0.115 0.385 0.000
0.000 0.000 0.000
0.500 0.500 0.000
```

Results
Theoretical density: 3.50 g/cm3
DOS at the Fermi energy: 4.6 states/eV/f.u.
Relative energy among the computed polymorphs: 0.24 eV per formula unit